Version w
# Ga2Sn2Hg | Alexandria | PBEsol | optimized geometry
# DOS at the Fermi energy = 1.68 states/eV/f.u.
data_Ga2Sn2Hg
_cell_length_a 4.6896
_cell_length_b 4.6896
_cell_length_c 11.4041
_cell_angle_alpha 90.00
_cell_angle_beta 90.00
_cell_angle_gamma 90.00
_space_group_name_H-M_alt 'I 4/m m m'
_space_group_IT_number 139
_space_group_name_Hall '-I 4 2'
loop_
_atom_site_label
_atom_site_type_symbol
_atom_site_fract_x
_atom_site_fract_y
_atom_site_fract_z
Ga1 Ga 0.0000 0.5000 0.2500
Sn1 Sn 0.0000 0.0000 0.1220
Hg1 Hg 0.0000 0.0000 0.5000


Version x
# Ga2Sn2Hg | Alexandria | PBEsol | optimized geometry
# DOS at the Fermi energy = 2.28 states/eV/f.u.
data_Ga2Sn2Hg
_cell_length_a 8.3399
_cell_length_b 8.3399
_cell_length_c 3.3053
_cell_angle_alpha 90.00
_cell_angle_beta 90.00
_cell_angle_gamma 90.00
_space_group_name_H-M_alt 'P 4/m b m'
_space_group_IT_number 127
_space_group_name_Hall '-P 4 2ab'
loop_
_atom_site_label
_atom_site_type_symbol
_atom_site_fract_x
_atom_site_fract_y
_atom_site_fract_z
Ga1 Ga 0.1368 0.3632 0.0000
Sn1 Sn 0.1601 0.6601 0.5000
Hg1 Hg 0.0000 0.0000 0.5000


It is version x that is the most stable of them.


Version w
# Ho5Ga3 | Alexandria | PBEsol | optimized geometry
# DOS at the Fermi energy = 11.35 states/eV/f.u.
data_Ho5Ga3
_cell_length_a 8.4137
_cell_length_b 8.4137
_cell_length_c 6.3845
_cell_angle_alpha 90.00
_cell_angle_beta 90.00
_cell_angle_gamma 120.00
_space_group_name_H-M_alt 'P 63/m c m'
_space_group_IT_number 193
_space_group_name_Hall '-P 6c 2'
loop_
_atom_site_label
_atom_site_type_symbol
_atom_site_fract_x
_atom_site_fract_y
_atom_site_fract_z
Ho1 Ho 0.0000 0.2428 0.2500
Ho2 Ho 0.3333 0.6667 0.0000
Ga1 Ga 0.0000 0.4016 0.7500


Version x
# Ho5Ga3 | Alexandria | PBEsol | optimized geometry
# DOS at the Fermi energy = 5.45 states/eV/f.u.
data_Ho5Ga3
_cell_length_a 7.4573
_cell_length_b 7.4573
_cell_length_c 13.8756
_cell_angle_alpha 90.00
_cell_angle_beta 90.00
_cell_angle_gamma 90.00
_space_group_name_H-M_alt 'P 4/n c c'
_space_group_IT_number 130
loop_
_space_group_symop_operation_xyz
'x,y,z'
'-x,-y,-z'
'-y+1/2,x,z'
'y+1/2,-x,-z'
'-x+1/2,-y+1/2,z'
'x+1/2,y+1/2,-z'
'y,-x+1/2,z'
'-y,x+1/2,-z'
'x+1/2,-y,-z+1/2'
'-x+1/2,y,z+1/2'
'-y,-x,-z+1/2'
'y,x,z+1/2'
'-x,y+1/2,-z+1/2'
'x,-y+1/2,z+1/2'
'y+1/2,x+1/2,-z+1/2'
'-y+1/2,-x+1/2,z+1/2'
loop_
_atom_site_label
_atom_site_type_symbol
_atom_site_fract_x
_atom_site_fract_y
_atom_site_fract_z
Ho1 Ho 0.0680 0.5936 0.1024
Ho2 Ho 0.2500 0.2500 0.2284
Ga1 Ga 0.1273 0.6273 0.7500
Ga2 Ga 0.2500 0.2500 0.0068


It is version x that is the most stable of them.